## Sr2LiPt (GGA-PBEsol)

Data for Sr2LiPt after structural relaxation.

Geometry as CIF:
```
data_Sr2LiPt
_cell_length_a 4.430
_cell_length_b 4.428
_cell_length_c 11.463
_cell_angle_alpha 90.00
_cell_angle_beta 90.00
_cell_angle_gamma 90.00
_space_group_name_H-M_alt 'A m m 2'
_space_group_IT_number 38
_space_group_name_Hall 'A 2 -2'
loop_
_atom_site_label
_atom_site_type_symbol
_atom_site_fract_x
_atom_site_fract_y
_atom_site_fract_z
_atom_site_occupancy
Sr1 Sr 0.000 0.000 0.000 1
Sr2 Sr 0.500 0.000 0.282 1
Li1 Li 0.000 0.000 0.687 1
Pt1 Pt 0.500 0.000 0.574 1
```

## Properties
Energy (eV for the cell shown): -28.6
M_tot (μB/f.u.): 0.00

=====

## KRePb2 (GGA-PBEsol)

Data for KRePb2 after structural relaxation.

Geometry as CIF:
```
data_KRePb2
_cell_length_a 3.366
_cell_length_b 3.366
_cell_length_c 8.665
_cell_angle_alpha 90.00
_cell_angle_beta 90.00
_cell_angle_gamma 90.00
_space_group_name_H-M_alt 'P 4/m m m'
_space_group_IT_number 123
_space_group_name_Hall '-P 4 2'
loop_
_atom_site_label
_atom_site_type_symbol
_atom_site_fract_x
_atom_site_fract_y
_atom_site_fract_z
_atom_site_occupancy
K1 K 0.000 0.000 0.000 1
Re1 Re 0.000 0.000 0.500 1
Pb1 Pb 0.500 0.500 0.308 1
```

## Properties
Energy (eV for the cell shown): -20.6
M_tot (μB/f.u.): 0.00

=====

## Ti2MoOs (GGA-PBEsol)

Data for Ti2MoOs after structural relaxation.

Geometry as CIF:
```
data_Ti2MoOs
_cell_length_a 6.170
_cell_length_b 6.170
_cell_length_c 6.170
_cell_angle_alpha 90.00
_cell_angle_beta 90.00
_cell_angle_gamma 90.00
_space_group_name_H-M_alt 'F m -3 m'
_space_group_IT_number 225
_space_group_name_Hall '-F 4 2 3'
loop_
_atom_site_label
_atom_site_type_symbol
_atom_site_fract_x
_atom_site_fract_y
_atom_site_fract_z
_atom_site_occupancy
Ti1 Ti 0.250 0.250 0.250 1
Mo1 Mo 0.000 0.000 0.000 1
Os1 Os 0.000 0.000 0.500 1
```

## Properties
Energy (eV for the cell shown): -169.0
M_tot (μB/f.u.): 0.00

=====

## AlTe2Ir (GGA-PBEsol)

Data for AlTe2Ir after structural relaxation.

Geometry as CIF:
```
data_AlTe2Ir
_cell_length_a 3.319
_cell_length_b 3.319
_cell_length_c 7.424
_cell_angle_alpha 90.00
_cell_angle_beta 90.00
_cell_angle_gamma 90.00
_space_group_name_H-M_alt 'P 4/m m m'
_space_group_IT_number 123
_space_group_name_Hall '-P 4 2'
loop_
_atom_site_label
_atom_site_type_symbol
_atom_site_fract_x
_atom_site_fract_y
_atom_site_fract_z
_atom_site_occupancy
Al1 Al 0.000 0.000 0.000 1
Te1 Te 0.500 0.500 0.277 1
Ir1 Ir 0.000 0.000 0.500 1
```

## Properties
Raw formation energy (eV per atom): 0.3635
M_tot (μB/f.u.): 0.00

=====

## AgAsIr3 (GGA-PBEsol)

Data for AgAsIr3 after structural relaxation.

Geometry as CIF:
```
data_AgAsIr3
_cell_length_a 4.699
_cell_length_b 4.699
_cell_length_c 4.699
_cell_angle_alpha 90.00
_cell_angle_beta 90.00
_cell_angle_gamma 90.00
_space_group_name_H-M_alt 'P m -3 m'
_space_group_IT_number 221
_space_group_name_Hall '-P 4 2 3'
loop_
_atom_site_label
_atom_site_type_symbol
_atom_site_fract_x
_atom_site_fract_y
_atom_site_fract_z
_atom_site_occupancy
Ag1 Ag 0.000 0.000 0.000 1
As1 As 0.500 0.500 0.500 1
Ir1 Ir 0.000 0.000 0.500 1
```

## Properties
Energy (eV for the cell shown): -25.2
M_tot (μB/f.u.): 0.01

=====

## MnVFe4Si2 (GGA-PBEsol)

Data for MnVFe4Si2 after structural relaxation.

Geometry as CIF:
```
data_MnVFe4Si2
_cell_length_a 3.9139
_cell_length_b 3.9139
_cell_length_c 19.1637
_cell_angle_alpha 90.00
_cell_angle_beta 90.00
_cell_angle_gamma 120.00
_space_group_name_H-M_alt 'R -3 m'
_space_group_IT_number 166
_space_group_name_Hall '-R 3 2"'
loop_
_atom_site_label
_atom_site_type_symbol
_atom_site_fract_x
_atom_site_fract_y
_atom_site_fract_z
_atom_site_occupancy
Mn1 Mn 0.0000 0.0000 0.0000 1
V1 V 0.0000 0.0000 0.5000 1
Fe1 Fe 0.0000 0.0000 0.1262 1
Fe2 Fe 0.0000 0.0000 0.3772 1
Si1 Si 0.0000 0.0000 0.2520 1
```

## Properties
Raw formation energy (eV per atom): -0.4984
M_tot (μB/f.u.): 3.92

=====

## TiGaTeN2 (GGA-PBEsol)

Data for TiGaTeN2 after structural relaxation.

Geometry as CIF:
```
data_TiGaTeN2
_cell_length_a 3.893
_cell_length_b 3.893
_cell_length_c 5.671
_cell_angle_alpha 90.00
_cell_angle_beta 90.00
_cell_angle_gamma 90.00
_space_group_name_H-M_alt 'P 4/m m m'
_space_group_IT_number 123
_space_group_name_Hall '-P 4 2'
loop_
_atom_site_label
_atom_site_type_symbol
_atom_site_fract_x
_atom_site_fract_y
_atom_site_fract_z
_atom_site_occupancy
Ti1 Ti 0.000 0.000 0.000 1
Ga1 Ga 0.500 0.500 0.500 1
Te1 Te 0.000 0.000 0.500 1
N1 N 0.000 0.500 0.000 1
```

## Properties
Raw formation energy (eV per atom): 0.2067
M_tot (μB/f.u.): 0.00

=====

## HoB3Mo (GGA-PBEsol)

Data for HoB3Mo after structural relaxation.

Geometry as CIF:
```
data_HoB3Mo
_cell_length_a 5.391
_cell_length_b 3.138
_cell_length_c 6.753
_cell_angle_alpha 90.00
_cell_angle_beta 101.90
_cell_angle_gamma 90.00
_space_group_name_H-M_alt 'P 1 21/m 1'
_space_group_IT_number 11
_space_group_name_Hall '-P 2yb'
loop_
_atom_site_label
_atom_site_type_symbol
_atom_site_fract_x
_atom_site_fract_y
_atom_site_fract_z
_atom_site_occupancy
Ho1 Ho 0.177 0.250 0.209 1
B1 B 0.083 0.750 0.494 1
B2 B 0.413 0.750 0.496 1
B3 B 0.418 0.750 0.975 1
Mo1 Mo 0.310 0.250 0.719 1
```

## Properties
Energy (eV for the cell shown): -82.6
M_tot (μB/f.u.): 0.00

=====

## Re2TcPt (GGA-PBEsol)

Data for Re2TcPt after structural relaxation.

Geometry as CIF:
```
data_Re2TcPt
_cell_length_a 3.870
_cell_length_b 3.870
_cell_length_c 7.689
_cell_angle_alpha 90.00
_cell_angle_beta 90.00
_cell_angle_gamma 90.00
_space_group_name_H-M_alt 'I 4/m m m'
_space_group_IT_number 139
_space_group_name_Hall '-I 4 2'
loop_
_atom_site_label
_atom_site_type_symbol
_atom_site_fract_x
_atom_site_fract_y
_atom_site_fract_z
_atom_site_occupancy
Re1 Re 0.000 0.500 0.250 1
Tc1 Tc 0.000 0.000 0.000 1
Pt1 Pt 0.000 0.000 0.500 1
```

## Properties
Energy (eV for the cell shown): -90.5
M_tot (μB/f.u.): 0.00

=====

## LiAg3 (GGA-PBEsol)

Data for LiAg3 after structural relaxation.

Geometry as CIF:
```
data_LiAg3
_cell_length_a 4.900
_cell_length_b 9.234
_cell_length_c 5.707
_cell_angle_alpha 90.00
_cell_angle_beta 90.00
_cell_angle_gamma 90.00
_space_group_name_H-M_alt 'P n m a'
_space_group_IT_number 62
_space_group_name_Hall '-P 2ac 2n'
loop_
_atom_site_label
_atom_site_type_symbol
_atom_site_fract_x
_atom_site_fract_y
_atom_site_fract_z
_atom_site_occupancy
Li1 Li 0.085 0.250 0.114 1
Ag1 Ag 0.089 0.250 0.619 1
Ag2 Ag 0.249 0.001 0.373 1
```

## Properties
Energy (eV for the cell shown): -49.4
M_tot (μB/f.u.): 0.00

=====

## MgWI3 (GGA-PBEsol)

Data for MgWI3 after structural relaxation.

Geometry as CIF:
```
data_MgWI3
_cell_length_a 5.544
_cell_length_b 5.544
_cell_length_c 5.544
_cell_angle_alpha 90.00
_cell_angle_beta 90.00
_cell_angle_gamma 90.00
_space_group_name_H-M_alt 'P m -3 m'
_space_group_IT_number 221
_space_group_name_Hall '-P 4 2 3'
loop_
_atom_site_label
_atom_site_type_symbol
_atom_site_fract_x
_atom_site_fract_y
_atom_site_fract_z
_atom_site_occupancy
Mg1 Mg 0.000 0.000 0.000 1
W1 W 0.500 0.500 0.500 1
I1 I 0.000 0.000 0.500 1
```

## Properties
Raw formation energy (eV per atom): 0.9642
M_tot (μB/f.u.): 5.00

=====

## RbHfZr2Sn (GGA-PBEsol)

Data for RbHfZr2Sn after structural relaxation.

Geometry as CIF:
```
data_RbHfZr2Sn
_cell_length_a 5.471
_cell_length_b 5.471
_cell_length_c 5.389
_cell_angle_alpha 90.00
_cell_angle_beta 90.00
_cell_angle_gamma 90.00
_space_group_name_H-M_alt 'P 4/m m m'
_space_group_IT_number 123
_space_group_name_Hall '-P 4 2'
loop_
_atom_site_label
_atom_site_type_symbol
_atom_site_fract_x
_atom_site_fract_y
_atom_site_fract_z
_atom_site_occupancy
Rb1 Rb 0.000 0.000 0.000 1
Hf1 Hf 0.500 0.500 0.000 1
Zr1 Zr 0.000 0.500 0.500 1
Sn1 Sn 0.500 0.500 0.500 1
```

## Properties
Energy (eV for the cell shown): -28.1
M_tot (μB/f.u.): 0.38